VASP calculation (GGA-PBE) on Ce2PrS5 after structural relaxation.

abc: 7.5113 8.1828 12.0907
angles: 90.00 90.00 90.00
Last column: magnetic moment on the atom in μB.
Fractional positions:
Ce1 0.4916 0.4992 0.8194  0.56
Ce2 0.5084 0.5008 0.1806  0.56
Ce3 0.9916 0.5008 0.6806  0.56
Ce4 0.5084 0.9992 0.1806  0.56
Ce5 0.0084 0.4992 0.3194  0.56
Ce6 0.4916 0.0008 0.8194  0.56
Ce7 0.0084 0.0008 0.3194  0.56
Ce8 0.9916 0.9992 0.6806  0.56
Pr1 0.4191 0.2500 0.5091  0.00
Pr2 0.5809 0.7500 0.4909  0.00
Pr3 0.9191 0.7500 0.9909  0.00
Pr4 0.0809 0.2500 0.0091  0.00
S1 0.0306 0.2500 0.5028  -0.03
S2 0.9694 0.7500 0.4972  -0.03
S3 0.5306 0.7500 0.9972  -0.03
S4 0.4694 0.2500 0.0028  -0.03
S5 0.3395 0.9555 0.6097  -0.03
S6 0.6605 0.0445 0.3903  -0.03
S7 0.8395 0.0445 0.8903  -0.03
S8 0.6605 0.4555 0.3903  -0.03
S9 0.1605 0.9555 0.1097  -0.03
S10 0.3395 0.5445 0.6097  -0.03
S11 0.1605 0.5445 0.1097  -0.03
S12 0.8395 0.4555 0.8903  -0.03
S13 0.2110 0.2500 0.7822  -0.02
S14 0.7890 0.7500 0.2178  -0.02
S15 0.7110 0.7500 0.7178  -0.02
S16 0.2890 0.2500 0.2822  -0.02
S17 0.6780 0.2500 0.6881  -0.03
S18 0.3220 0.7500 0.3119  -0.03
S19 0.1780 0.7500 0.8119  -0.03
S20 0.8220 0.2500 0.1881  -0.03

Computed properties:
The space group is Pnma (62). As for the electronic total energy: -6.59 eV per atom.

=====

VASP calculation (GGA-PBE) on Ce4PrS5 after structural relaxation.

abc: 5.7122 6.9947 6.9947
angles: 80.40 65.90 65.90
Last column: magnetic moment on the atom in μB.
Fractional positions:
Ce1 0.3995 0.4013 0.8016  0.56
Ce2 0.8009 0.8016 0.5987  0.56
Ce3 0.2012 0.1984 0.4013  0.56
Ce4 0.6025 0.5987 0.1984  0.56
Pr1 0.0011 0.0000 0.0000  -0.01
S1 0.9003 0.4037 0.7977  -0.02
S2 0.3040 0.7977 0.5963  -0.02
S3 0.6980 0.2023 0.4037  -0.02
S4 0.1017 0.5963 0.2023  -0.02
S5 0.5011 0.0000 0.0000  -0.01

Computed properties:
The space group is I4/m (87). As for the electronic total energy: -6.96 eV per atom.

=====

VASP calculation (GGA-PBE) on CePr3S4 after structural relaxation.

abc: 7.0894 7.0963 8.1323
angles: 90.00 90.00 109.31
Last column: magnetic moment on the atom in μB.
Fractional positions:
Pr1 0.7500 0.0000 0.3740  0.02
Pr2 0.2500 0.0000 0.6260  0.02
Pr3 0.7500 0.5000 0.6253  0.01
Pr4 0.7500 0.5000 0.1249  0.01
Pr5 0.2500 0.5000 0.3747  0.01
Pr6 0.2500 0.5000 0.8751  0.01
S1 0.9973 0.2473 0.6274  0.00
S2 0.5004 0.2459 0.8773  -0.01
S3 0.4973 0.2473 0.3726  0.00
S4 0.0004 0.2459 0.1227  -0.01
S5 0.9996 0.7541 0.8773  -0.01
S6 0.5027 0.7527 0.6274  0.00
S7 0.4996 0.7541 0.1227  -0.01
S8 0.0027 0.7527 0.3726  0.00
Ce1 0.7500 0.0000 0.8756  0.67
Ce2 0.2500 0.0000 0.1244  0.67

Computed properties:
The space group is P2/c (13). As for the electronic total energy: -6.63 eV per atom.

=====

VASP calculation (GGA-PBE) on Ce6PrS12 after structural relaxation.

abc: 8.0956 8.0956 8.0956
angles: 100.03 100.03 100.03
Last column: magnetic moment on the atom in μB.
Fractional positions:
Ce1 0.1369 0.3045 0.6160  0.56
Ce2 0.6955 0.3840 0.8631  0.56
Ce3 0.3840 0.8631 0.6955  0.56
Ce4 0.8631 0.6955 0.3840  0.56
Ce5 0.3045 0.6160 0.1369  0.56
Ce6 0.6160 0.1369 0.3045  0.56
Pr1 0.0000 0.0000 0.0000  0.00
S1 0.4313 0.1772 0.5788  -0.03
S2 0.1772 0.5788 0.4313  -0.03
S3 0.5788 0.4313 0.1772  -0.03
S4 0.5687 0.8228 0.4212  -0.03
S5 0.8228 0.4212 0.5687  -0.03
S6 0.4212 0.5687 0.8228  -0.03
S7 0.0635 0.9346 0.6688  -0.02
S8 0.3312 0.9365 0.0654  -0.02
S9 0.0654 0.3312 0.9365  -0.02
S10 0.9365 0.0654 0.3312  -0.02
S11 0.6688 0.0635 0.9346  -0.02
S12 0.9346 0.6688 0.0635  -0.02

Computed properties:
The space group is R-3 (148). As for the electronic total energy: -6.64 eV per atom.

=====

VASP calculation (GGA-PBE) on CePr3S4 after structural relaxation.

abc: 4.0750 7.0847 7.0847
angles: 109.34 90.00 90.00
Last column: magnetic moment on the atom in μB.
Fractional positions:
Ce1 0.5000 0.0000 0.0000  0.64
Pr1 0.0000 0.0000 0.5000  0.01
Pr2 0.5000 0.5000 0.5000  0.00
Pr3 0.0000 0.5000 0.0000  0.01
S1 0.0000 0.2454 0.2454  -0.01
S2 0.5000 0.7525 0.2475  0.00
S3 0.0000 0.7546 0.7546  -0.01
S4 0.5000 0.2475 0.7525  0.00

Computed properties:
The space group is Cmmm (65). As for the electronic total energy: -6.63 eV per atom.

=====

VASP calculation (GGA-PBE) on CePr2S5 after structural relaxation.

abc: 7.5704 8.1865 12.0406
angles: 90.00 90.00 90.00
Fractional positions:
Ce1 0.4291 0.2500 0.5088
Ce2 0.5709 0.7500 0.4912
Ce3 0.9291 0.7500 0.9912
Ce4 0.0709 0.2500 0.0088
Pr1 0.4780 0.5003 0.8227
Pr2 0.5220 0.4997 0.1773
Pr3 0.9780 0.4997 0.6773
Pr4 0.5220 0.0003 0.1773
Pr5 0.0220 0.5003 0.3227
Pr6 0.4780 0.9997 0.8227
Pr7 0.0220 0.9997 0.3227
Pr8 0.9780 0.0003 0.6773
S1 0.0451 0.2500 0.5015
S2 0.9549 0.7500 0.4985
S3 0.5451 0.7500 0.9985
S4 0.4549 0.2500 0.0015
S5 0.3389 0.9587 0.5964
S6 0.6611 0.0413 0.4036
S7 0.8389 0.0413 0.9036
S8 0.6611 0.4587 0.4036
S9 0.1611 0.9587 0.0964
S10 0.3389 0.5413 0.5964
S11 0.1611 0.5413 0.0964
S12 0.8389 0.4587 0.9036
S13 0.1965 0.2500 0.7859
S14 0.8035 0.7500 0.2141
S15 0.6965 0.7500 0.7141
S16 0.3035 0.2500 0.2859
S17 0.6705 0.2500 0.6875
S18 0.3295 0.7500 0.3125
S19 0.1705 0.7500 0.8125
S20 0.8295 0.2500 0.1875

Computed properties:
The space group is Pnma (62). As for the electronic total energy: -6.50 eV per atom.

=====

VASP calculation (GGA-PBE) on CePr4S5 after structural relaxation.

abc: 5.7896 7.0811 7.0811
angles: 80.38 65.87 65.87
Last column: magnetic moment on the atom in μB.
Fractional positions:
Ce1 0.0011 0.0000 0.0000  0.60
Pr1 0.4052 0.3962 0.7955  0.01
Pr2 0.8014 0.7955 0.6038  0.01
Pr3 0.2007 0.2045 0.3962  0.01
Pr4 0.5969 0.6038 0.2045  0.01
S1 0.9015 0.3943 0.8047  0.00
S2 0.2958 0.8047 0.6057  0.00
S3 0.7062 0.1953 0.3943  0.00
S4 0.1005 0.6057 0.1953  0.00
S5 0.5012 0.0000 0.0000  -0.01

Computed properties:
The space group is I4/m (87). As for the electronic total energy: -6.60 eV per atom.

=====

VASP calculation (GGA-PBE) on Ce5PrS8 after structural relaxation.

abc: 7.4090 7.4090 7.4090
angles: 109.51 109.39 109.51
Last column: magnetic moment on the atom in μB.
Fractional positions:
Ce1 0.0003 0.3752 0.1241  1.07
Ce2 0.8759 0.8762 0.2510  1.07
Ce3 0.7490 0.6248 0.6252  1.07
Ce4 0.5000 0.0000 0.5000  1.08
Ce5 0.3748 0.1238 0.9997  1.07
Pr1 0.2500 0.5000 0.7500  0.12
S1 0.1243 0.7512 0.0270  -0.03
S2 0.9730 0.0973 0.7242  -0.03
S3 0.7749 0.2492 0.3745  -0.03
S4 0.6255 0.4004 0.8748  -0.03
S5 0.4743 0.5996 0.2251  -0.03
S6 0.6269 0.9027 0.8757  -0.03
S7 0.2758 0.2488 0.3731  -0.03
S8 0.1252 0.7508 0.5257  -0.03

Computed properties:
The space group is I-4 (82). As for the electronic total energy: -6.84 eV per atom.

=====

VASP calculation (GGA-PBE) on CePrSc2S4 after structural relaxation.

abc: 3.8227 6.6415 6.8633
angles: 108.75 90.00 90.00
Last column: magnetic moment on the atom in μB.
Fractional positions:
Ce1 0.5000 0.5000 0.0000  0.62
Pr1 0.0000 0.0000 0.0000  0.02
Sc1 0.5000 0.0000 0.5000  -0.01
Sc2 0.0000 0.5000 0.5000  0.01
S1 0.5000 0.2635 0.2814  0.00
S2 0.5000 0.7365 0.7186  0.00
S3 0.0000 0.2427 0.7207  -0.01
S4 0.0000 0.7573 0.2793  -0.01

Computed properties:
The space group is P2/m (10). As for the electronic total energy: -6.92 eV per atom.